Compound: KCrCu2
Source: the Alexandria database
Functional: PBE
Structure: relaxed

Results
As for the density of states at the Fermi level: 0.4730 states/eV per atom. The value obtained for the energy relative to the elements is 0.62 eV per atom. As for the energy above the lowest structure with this stoichiometry: 0.079 eV per atom.

Structure (CIF):
```
data_KCrCu2
_cell_length_a 8.7423
_cell_length_b 2.9796
_cell_length_c 6.8460
_cell_angle_alpha 90.00
_cell_angle_beta 97.07
_cell_angle_gamma 90.00
_symmetry_space_group_name_H-M 'C 1 2/m 1'
_symmetry_Int_Tables_number 12
loop_
_symmetry_equiv_pos_as_xyz
'x,y,z'
'-x,-y,-z'
'-x,y,-z'
'x,-y,z'
'x+1/2,y+1/2,z'
'-x+1/2,-y+1/2,-z'
'-x+1/2,y+1/2,-z'
'x+1/2,-y+1/2,z'
loop_
_atom_site_label
_atom_site_fract_x
_atom_site_fract_y
_atom_site_fract_z
_atom_site_occupancy
K1 0.0000 0.0000 0.0000 1
Cr1 0.0000 0.5000 0.5000 1
Cu1 0.2325 0.0000 0.6393 1
```